Here is a relaxed structure of MoAs2SeF from Alexandria via LeMat-Bulk. Energies are from GGA+U.

Lattice parameters (Å, degrees): 4.309 4.309 5.342 90.00 90.00 90.00
Atoms (fractional coordinates):
Mo  0.000  0.000  0.000
As  0.000  0.500  0.500
As  0.500  0.000  0.500
Se  0.500  0.500  0.000
F  0.500  0.500  0.500

Calculated values
crystal system = tetragonal
excess energy over the best structure of this formula in the dataset = 40 meV per atom
symmetry = P4/mmm (123)
N(E_F) = 3.11 states/eV per cell
E = -19.8 eV per cell